# Er2Al6FeRu, relaxed, DFT PBE
# Calculated total energy in eV per atom: -5.22
# Crystal system: cubic
# Total moment in μB/f.u.: 0.000
# Calculated formation energy in meV per atom: -291
data_Er2Al6FeRu
_chemical_formula_sum 'Er2 Al6 Fe1 Ru1'
_space_group_name_H-M_alt 'P 1'
_space_group_IT_number 1
_space_group_name_Hall 'P 1'
_cell_length_a 6.466
_cell_length_b 6.466
_cell_length_c 6.469
_cell_angle_alpha 59.99
_cell_angle_beta 59.98
_cell_angle_gamma 89.96
loop_
_atom_site_label
_atom_site_fract_x
_atom_site_fract_y
_atom_site_fract_z
Er1 0.250 0.750 0.500
Er2 0.750 0.250 0.500
Al1 0.243 0.757 0.000
Al2 0.757 0.757 0.000
Al3 0.243 0.243 0.513
Al4 0.757 0.243 0.000
Al5 0.243 0.243 0.000
Al6 0.757 0.757 0.487
Fe1 0.000 0.000 0.000
Ru1 0.500 0.500 0.000


# BeCuTcHg2, relaxed, DFT PBE
# Calculated total energy in eV per atom: -2.87
# Crystal system: tetragonal
# Total moment in μB/f.u.: 2.476
# Calculated formation energy in meV per atom: 891
data_BeCuTcHg2
_chemical_formula_sum 'Be1 Cu1 Tc1 Hg2'
_space_group_name_H-M_alt 'P 1'
_space_group_IT_number 1
_space_group_name_Hall 'P 1'
_cell_length_a 4.565
_cell_length_b 4.139
_cell_length_c 4.565
_cell_angle_alpha 90.00
_cell_angle_beta 90.00
_cell_angle_gamma 90.00
loop_
_atom_site_label
_atom_site_fract_x
_atom_site_fract_y
_atom_site_fract_z
Be1 0.000 0.000 0.000
Hg1 0.000 0.000 0.500
Hg2 0.500 0.000 0.000
Cu1 0.000 0.500 0.000
Tc1 0.500 0.500 0.500


# Ba2NaAsRh, relaxed, DFT PBE
# Calculated total energy in eV per atom: -3.82
# Crystal system: tetragonal
# Total moment in μB/f.u.: 0.000
# Calculated formation energy in meV per atom: -392
data_Ba2NaAsRh
_chemical_formula_sum 'Ba2 Na1 As1 Rh1'
_space_group_name_H-M_alt 'P 1'
_space_group_IT_number 1
_space_group_name_Hall 'P 1'
_cell_length_a 6.217
_cell_length_b 6.217
_cell_length_c 4.737
_cell_angle_alpha 90.00
_cell_angle_beta 90.00
_cell_angle_gamma 90.00
loop_
_atom_site_label
_atom_site_fract_x
_atom_site_fract_y
_atom_site_fract_z
Na1 0.500 0.500 0.500
As1 0.000 0.000 0.500
Rh1 0.000 0.000 0.000
Ba1 0.000 0.500 0.000
Ba2 0.500 0.000 0.000


# GePPbS2, relaxed, DFT PBE
# Calculated total energy in eV per atom: -4.13
# Crystal system: tetragonal
# Formation energy without anion corrections in meV/atom: 269
# Total moment in μB/f.u.: 0.000
data_GePPbS2
_chemical_formula_sum 'Ge1 P1 Pb1 S2'
_space_group_name_H-M_alt 'P 1'
_space_group_IT_number 1
_space_group_name_Hall 'P 1'
_cell_length_a 4.725
_cell_length_b 4.816
_cell_length_c 4.725
_cell_angle_alpha 90.00
_cell_angle_beta 90.00
_cell_angle_gamma 90.00
loop_
_atom_site_label
_atom_site_fract_x
_atom_site_fract_y
_atom_site_fract_z
Pb1 0.500 0.500 0.500
P1 0.000 0.000 0.000
Ge1 0.000 0.500 0.000
S1 0.000 0.000 0.500
S2 0.500 0.000 0.000


# ErPuNp2P4, relaxed, DFT PBE
# Calculated total energy in eV per atom: -9.40
# Crystal system: monoclinic
# Total moment in μB/f.u.: 5.107
# Calculated formation energy in meV per atom: -1095
data_ErPuNp2P4
_chemical_formula_sum 'Er1 Pu1 Np2 P4'
_space_group_name_H-M_alt 'P 1'
_space_group_IT_number 1
_space_group_name_Hall 'P 1'
_cell_length_a 3.946
_cell_length_b 6.861
_cell_length_c 6.873
_cell_angle_alpha 109.29
_cell_angle_beta 90.00
_cell_angle_gamma 90.00
loop_
_atom_site_label
_atom_site_fract_x
_atom_site_fract_y
_atom_site_fract_z
Er1 0.500 0.500 0.000
Pu1 0.000 0.000 0.000
Np1 0.500 0.000 0.500
Np2 0.000 0.500 0.500
P1 0.500 0.251 0.252
P2 0.500 0.749 0.748
P3 0.000 0.250 0.746
P4 0.000 0.750 0.254


# Mg2VCo3S8, relaxed, DFT PBE
# Calculated total energy in eV per atom: -5.44
# Crystal system: trigonal
# Formation energy without anion corrections in meV/atom: -679
# Total moment in μB/f.u.: 1.978
data_Mg2VCo3S8
_chemical_formula_sum 'Mg2 V1 Co3 S8'
_space_group_name_H-M_alt 'P 1'
_space_group_IT_number 1
_space_group_name_Hall 'P 1'
_cell_length_a 6.990
_cell_length_b 6.990
_cell_length_c 6.990
_cell_angle_alpha 60.38
_cell_angle_beta 60.38
_cell_angle_gamma 60.38
loop_
_atom_site_label
_atom_site_fract_x
_atom_site_fract_y
_atom_site_fract_z
Mg1 0.876 0.876 0.876
Mg2 0.124 0.124 0.124
V1 0.500 0.500 0.500
Co1 0.000 0.500 0.500
Co2 0.500 0.000 0.500
Co3 0.500 0.500 0.000
S1 0.298 0.741 0.741
S2 0.259 0.702 0.259
S3 0.269 0.269 0.269
S4 0.259 0.259 0.702
S5 0.731 0.731 0.731
S6 0.741 0.741 0.298
S7 0.702 0.259 0.259
S8 0.741 0.298 0.741


# KAl4Cu, relaxed, DFT PBE
# Calculated total energy in eV per atom: -3.01
# Crystal system: cubic
# Total moment in μB/f.u.: 0.000
# Calculated formation energy in meV per atom: 348
data_KAl4Cu
_chemical_formula_sum 'K1 Al4 Cu1'
_space_group_name_H-M_alt 'P 1'
_space_group_IT_number 1
_space_group_name_Hall 'P 1'
_cell_length_a 5.577
_cell_length_b 5.577
_cell_length_c 5.577
_cell_angle_alpha 60.00
_cell_angle_beta 60.00
_cell_angle_gamma 60.00
loop_
_atom_site_label
_atom_site_fract_x
_atom_site_fract_y
_atom_site_fract_z
K1 0.000 0.000 0.000
Al1 0.875 0.375 0.375
Al2 0.375 0.375 0.875
Al3 0.375 0.875 0.375
Al4 0.375 0.375 0.375
Cu1 0.750 0.750 0.750


| no. | DOS(E_F) (states/eV per cell) |
| --- | --- |
| 1 | 4.42 |
| 2 | 2.70 |
| 3 | 3.59 |
| 4 | 3.35 |
| 5 | 25.72 |
| 6 | 4.93 |
| 7 | 2.37 |